# 1
NbGaTcMo | PBE | relaxed

Cell lengths 4.470, 4.470, 4.470 Å; angles 60.00, 60.00, 60.00 degrees
Fractional coordinates of all 4 atoms:
Tc 0.750 0.750 0.750
Ga 0.000 0.000 0.000
Mo 0.250 0.250 0.250
Nb 0.500 0.500 0.500

Calculated values
E_form, meV/atom: -77
DOS at the Fermi energy, states/eV per atom: 1.06


# 2
TiAg2I4 | PBE | relaxed

Cell lengths 6.638, 6.638, 7.834 Å; angles 115.06, 115.06, 90.00 degrees
Each line ends with the local moment (μB).
Fractional coordinates of all 7 atoms:
Ti 0.500 0.500 0.000  1.63
I 0.631 0.631 0.764  -0.01
I 0.867 0.369 0.236  -0.01
I 0.133 0.133 0.764  -0.01
I 0.369 0.867 0.236  -0.01
Ag 0.750 0.250 0.500  0.01
Ag 0.250 0.750 0.500  0.01

Calculated values
E_form (uncorrected), eV/f.u.: -2.3


# 3
Tl2PAu | PBE | relaxed

Cell lengths 7.195, 7.195, 7.195 Å; angles 144.33, 145.20, 50.69 degrees
Fractional coordinates of all 4 atoms:
P 0.344 0.844 0.500
Tl 0.013 0.013 0.000
Tl 0.733 0.233 0.500
Au 0.409 0.409 0.000

Calculated values
E_form, meV/atom: 101
Offset from the most stable computed form, meV per atom: 136
DOS at the Fermi energy, states/eV per atom: 0.33


# 4
CsCaAcO3 | PBE | relaxed

Cell lengths 3.956, 8.132, 11.234 Å; angles 113.49, 90.00, 90.00 degrees
Fractional coordinates of all 12 atoms:
O 0.750 0.467 0.103
O 0.250 0.103 0.836
O 0.250 0.533 0.897
O 0.250 0.871 0.389
O 0.750 0.897 0.164
O 0.750 0.129 0.611
Ca 0.250 0.003 0.614
Ca 0.750 0.997 0.386
Cs 0.250 0.202 0.146
Cs 0.750 0.798 0.854
Ac 0.750 0.319 0.860
Ac 0.250 0.681 0.140

Calculated values
E_form (uncorrected), eV/f.u.: -15.0
DOS at the Fermi energy, states/eV per atom: 0.00


# 5
NiRh2Br | PBE | relaxed

Cell lengths 4.602, 4.602, 4.602 Å; angles 127.74, 127.74, 77.05 degrees
Each line ends with the local moment (μB).
Fractional coordinates of all 4 atoms:
Ni 0.000 0.000 0.000  0.51
Rh 0.750 0.250 0.500  0.22
Rh 0.250 0.750 0.500  0.22
Br 0.500 0.500 0.000  0.01

Calculated values
Offset from the most stable computed form, meV per atom: 304
E_form (uncorrected), eV/f.u.: 2.6
DOS at the Fermi energy, states/eV per atom: 1.64


# 6
Li2TcNi | PBE | relaxed

Cell lengths 5.013, 5.013, 2.447 Å; angles 90.00, 90.00, 121.49 degrees
Fractional coordinates of all 4 atoms:
Li 0.500 0.500 0.000
Li 0.000 0.000 0.000
Tc 0.000 0.500 0.500
Ni 0.500 0.000 0.500

Calculated values
E_form, meV/atom: 256
Offset from the most stable computed form, meV per atom: 171
DOS at the Fermi energy, states/eV per atom: 0.96


no.,magnetic moment (Bohr magnetons per cell)
1,0.000
2,2.000
3,0.000
4,0.000
5,0.950
6,0.001